The following is a DFT calculation (PBE) of an optimized crystal structure of La5CS4.

Cell and atoms, written as POSCAR:
```
La5CS4
1.0
-4.548 3.160 1.854
-3.746 -3.067 5.236
1.532 4.469 5.342
La C S
5 1 4
direct
0.908 0.370 0.815
0.279 0.815 0.630
0.724 0.185 0.370
0.094 0.630 0.185
0.498 0.000 0.000
0.005 0.000 0.000
0.405 0.397 0.794
0.803 0.794 0.603
0.199 0.206 0.397
0.596 0.603 0.206
```

theoretical density = 5.6 g/cm3
total DFT energy (no corrections) = -6.787 eV per atom
formation energy from raw total energies = -1.749 eV per atom

---

The following is a DFT calculation (PBE) of an optimized crystal structure of LaNbCr.

Cell and atoms, written as POSCAR:
```
LaNbCr
1.0
5.920 0.000 -0.030
0.000 3.796 0.000
-0.378 0.000 11.940
Cr Nb La
4 4 4
direct
0.408 0.000 0.905
0.408 0.500 0.405
0.604 0.000 0.455
0.604 0.500 0.955
0.832 0.000 0.034
0.832 0.500 0.534
0.123 0.000 0.451
0.123 0.500 0.951
0.865 0.000 0.759
0.865 0.500 0.259
0.361 0.000 0.178
0.361 0.500 0.678
```

E_form = 0.3665 eV/atom
theoretical density = 7.0 g/cm3
total DFT energy (no corrections) = -7.840 eV per atom

---

The following is a DFT calculation (PBE) of an optimized crystal structure of BeSb2Ru.

Cell and atoms, written as POSCAR:
```
BeSb2Ru
1.0
4.692 0.000 0.000
2.346 4.063 0.000
2.346 1.354 3.831
Sb Be Ru
2 1 1
direct
0.000 0.000 0.000
0.250 0.250 0.250
0.500 0.500 0.500
0.750 0.750 0.750
```

theoretical density = 8.0 g/cm3
total DFT energy (no corrections) = -4.634 eV per atom
formation energy from raw total energies = 0.678 eV per atom

---

The following is a DFT calculation (PBE) of an optimized crystal structure of Os2NO.

Cell and atoms, written as POSCAR:
```
Os2NO
1.0
-1.074 -2.831 2.456
-2.985 0.567 2.443
-3.363 -1.893 -0.558
Os O N
2 1 1
direct
0.250 0.250 0.250
0.750 0.750 0.750
0.500 0.500 0.500
0.000 0.000 0.000
```

theoretical density = 16.3 g/cm3
total DFT energy (no corrections) = -7.571 eV per atom
formation energy from raw total energies = 1.365 eV per atom

---

The following is a DFT calculation (PBE) of an optimized crystal structure of K3Ce3MnSe8.

Cell and atoms, written as POSCAR:
```
K3Ce3MnSe8
1.0
8.421 0.000 0.000
-4.211 7.287 -0.024
0.000 -4.826 7.783
K Ce Mn Se
3 3 1 8
direct
0.000 0.000 0.000
0.000 0.500 0.000
0.500 0.500 0.000
0.500 0.000 0.500
0.500 0.500 0.500
0.000 0.500 0.500
0.000 0.000 0.500
0.263 0.526 0.290
0.737 0.474 0.710
0.776 0.552 0.307
0.224 0.448 0.693
0.775 0.031 0.306
0.225 0.969 0.694
0.256 0.031 0.306
0.744 0.969 0.694
```

theoretical density = 4.3 g/cm3
total DFT energy (no corrections) = -5.310 eV per atom
formation energy from raw total energies = -1.434 eV per atom

---

The following is a DFT calculation (PBE) of an optimized crystal structure of Nd2Cu2Pd.

Cell and atoms, written as POSCAR:
```
Nd2Cu2Pd
1.0
-2.171 -6.927 1.312
2.435 -2.025 -6.662
7.068 -1.632 3.079
Nd Cu Pd
8 8 4
direct
0.681 0.819 0.500
0.319 0.181 0.500
0.819 0.319 0.000
0.181 0.681 0.000
0.819 0.319 0.500
0.181 0.681 0.500
0.319 0.181 0.000
0.681 0.819 0.000
0.381 0.881 0.250
0.619 0.119 0.250
0.119 0.381 0.750
0.881 0.619 0.750
0.881 0.619 0.250
0.119 0.381 0.250
0.381 0.881 0.750
0.619 0.119 0.750
0.500 0.500 0.250
0.000 0.000 0.750
0.500 0.500 0.750
0.000 0.000 0.250
```

E_form = -0.3387 eV/atom
theoretical density = 8.1 g/cm3
total DFT energy (no corrections) = -4.923 eV per atom

---

The following is a DFT calculation (PBE) of an optimized crystal structure of AlInCl.

Cell and atoms, written as POSCAR:
```
AlInCl
1.0
5.040 0.000 0.000
2.520 4.365 0.000
2.520 1.455 4.115
Cl Al In
1 1 1
direct
0.500 0.500 0.500
0.000 0.000 0.000
0.750 0.750 0.750
```

theoretical density = 3.3 g/cm3
total DFT energy (no corrections) = -2.655 eV per atom
formation energy from raw total energies = 0.121 eV per atom

---

The following is a DFT calculation (PBE) of an optimized crystal structure of RbIn2Te3.

Cell and atoms, written as POSCAR:
```
RbIn2Te3
1.0
5.220 0.000 0.000
0.000 8.446 -0.950
-2.610 -3.462 12.713
Rb In Te
2 4 6
direct
0.349 0.140 0.699
0.651 0.860 0.301
0.303 0.617 0.605
0.697 0.383 0.395
0.945 0.789 0.889
0.055 0.211 0.111
0.221 0.263 0.442
0.060 0.884 0.120
0.410 0.610 0.821
0.779 0.737 0.558
0.590 0.390 0.179
0.940 0.116 0.880
```

theoretical density = 4.3 g/cm3
total DFT energy (no corrections) = -3.131 eV per atom
formation energy from raw total energies = -0.486 eV per atom

---

The following is a DFT calculation (PBE) of an optimized crystal structure of CaCr4S8.

Cell and atoms, written as POSCAR:
```
CaCr4S8
1.0
7.061 -0.003 -0.002
3.647 6.178 0.000
3.647 2.012 5.841
Ca Cr S
1 4 8
direct
0.500 0.000 0.000
0.000 0.500 0.500
0.500 0.500 0.000
0.500 0.500 0.500
0.500 0.000 0.500
0.254 0.266 0.266
0.254 0.266 0.714
0.254 0.714 0.266
0.714 0.262 0.262
0.286 0.738 0.738
0.746 0.734 0.286
0.746 0.286 0.734
0.746 0.734 0.734
```

theoretical density = 3.3 g/cm3
total DFT energy (no corrections) = -6.458 eV per atom
formation energy from raw total energies = -0.803 eV per atom

---

The following is a DFT calculation (PBE) of an optimized crystal structure of Y8HgGe3Te4.

Cell and atoms, written as POSCAR:
```
Y8HgGe3Te4
1.0
-1.680 7.192 4.250
-7.837 -3.072 2.100
6.936 -4.563 1.920
Y Hg Ge Te
8 1 3 4
direct
0.249 0.729 0.980
0.249 0.729 0.498
0.261 0.283 0.522
0.731 0.729 0.980
0.269 0.271 0.020
0.739 0.717 0.478
0.751 0.271 0.502
0.751 0.271 0.020
0.000 0.500 0.000
0.500 0.500 0.000
0.500 0.500 0.500
0.000 0.500 0.500
0.500 0.000 0.000
0.500 0.000 0.500
0.000 0.000 0.000
0.000 0.000 0.500
```

theoretical density = 6.1 g/cm3
total DFT energy (no corrections) = -6.013 eV per atom
formation energy from raw total energies = -1.111 eV per atom

---

The following is a DFT calculation (PBE) of an optimized crystal structure of HfNbGa4.

Cell and atoms, written as POSCAR:
```
HfNbGa4
1.0
3.224 -0.075 -0.008
0.733 3.140 -0.008
0.027 0.021 10.325
Hf Nb Ga
1 1 4
direct
0.500 0.500 0.500
0.000 0.000 0.000
0.500 0.500 0.169
0.500 0.500 0.831
0.000 0.000 0.679
0.000 0.000 0.321
```

E_form = -0.1890 eV/atom
theoretical density = 8.7 g/cm3
total DFT energy (no corrections) = -5.544 eV per atom

---

The following is a DFT calculation (PBE) of an optimized crystal structure of SmZrTcAg.

Cell and atoms, written as POSCAR:
```
SmZrTcAg
1.0
-2.389 -2.095 -3.739
0.534 -4.799 -0.871
-3.715 -3.081 0.881
Zr Ag Sm Tc
1 1 1 1
direct
0.000 0.000 0.000
0.250 0.250 0.250
0.500 0.500 0.500
0.750 0.750 0.750
```

E_form = -0.0567 eV/atom
theoretical density = 8.9 g/cm3
total DFT energy (no corrections) = -6.678 eV per atom

---

Look up the total DFT energy (no corrections) of the fifth one.
-5.310 eV per atom

---

The highest theoretical density belongs to which entry?
Os2NO

---

Which value of total DFT energy (no corrections) does entry 1 give?
-6.787 eV per atom